Compound: Bi2SbRh2
Source: Alexandria
Functional: GGA-PBE
Structure: optimized geometry

a = 7.5523 Å, b = 7.5523 Å, c = 3.8352 Å
α = 90.00°, β = 90.00°, γ = 90.00°
Atoms (fractional coordinates):
Bi 0.1553 0.3447 0.0000
Bi 0.3447 0.8447 0.0000
Bi 0.6553 0.1553 0.0000
Bi 0.8447 0.6553 0.0000
Sb 0.0000 0.0000 0.5000
Sb 0.5000 0.5000 0.5000
Rh 0.1405 0.6405 0.5000
Rh 0.3595 0.1405 0.5000
Rh 0.6405 0.8595 0.5000
Rh 0.8595 0.3595 0.5000

Values from the calculation:
- Uncorrected formation energy: -0.02 eV per atom
- ρ: 11.32 g cm⁻³
- Magnetization: 0.00 μB/f.u.